1.
# Mn2ReSe (PBE, optimized geometry)
data_Mn2ReSe
_chemical_formula_sum 'Mn4 Re2 Se2'
_cell_length_a 5.3451
_cell_length_b 5.3451
_cell_length_c 6.4427
_cell_angle_alpha 65.49
_cell_angle_beta 65.49
_cell_angle_gamma 90.00
_symmetry_space_group_name_H-M 'P 1'
_symmetry_Int_Tables_number 1
loop_
_symmetry_equiv_pos_as_xyz
'x,y,z'
loop_
_atom_site_label
_atom_site_fract_x
_atom_site_fract_y
_atom_site_fract_z
Re1 0.7500 0.2500 0.5000
Re2 0.0000 0.0000 0.0000
Mn1 0.1246 0.6250 0.2500
Mn2 0.8750 0.8754 0.7500
Mn3 0.6254 0.1250 0.2500
Mn4 0.3750 0.3746 0.7500
Se1 0.5000 0.5000 0.0000
Se2 0.2500 0.7500 0.5000
# raw formation energy = 3.158 eV/f.u.
# M_tot = 0.000 μB/atom
# D(E_F) = 0.72 states/eV per atom
# space group = I-42d
# VASP energy = -7.779 eV per atom

2.
# Mn2ReSe (PBE, optimized geometry)
data_Mn2ReSe
_chemical_formula_sum 'Mn2 Re1 Se1'
_cell_length_a 4.7232
_cell_length_b 4.7232
_cell_length_c 4.7232
_cell_angle_alpha 133.53
_cell_angle_beta 133.53
_cell_angle_gamma 67.82
_symmetry_space_group_name_H-M 'P 1'
_symmetry_Int_Tables_number 1
loop_
_symmetry_equiv_pos_as_xyz
'x,y,z'
loop_
_atom_site_label
_atom_site_fract_x
_atom_site_fract_y
_atom_site_fract_z
Mn1 0.5000 0.5000 0.0000
Mn2 0.0000 0.0000 0.0000
Se1 0.7500 0.2500 0.5000
Re1 0.2500 0.7500 0.5000
# raw formation energy = 2.021 eV/f.u.
# M_tot = 0.964 μB/atom
# D(E_F) = 1.00 states/eV per atom
# space group = I4/mmm
# VASP energy = -8.063 eV per atom

3.
# MnReSe4 (PBE, optimized geometry)
data_MnReSe4
_chemical_formula_sum 'Mn1 Re1 Se4'
_cell_length_a 5.5874
_cell_length_b 5.5874
_cell_length_c 5.5874
_cell_angle_alpha 60.00
_cell_angle_beta 60.00
_cell_angle_gamma 60.00
_symmetry_space_group_name_H-M 'P 1'
_symmetry_Int_Tables_number 1
loop_
_symmetry_equiv_pos_as_xyz
'x,y,z'
loop_
_atom_site_label
_atom_site_fract_x
_atom_site_fract_y
_atom_site_fract_z
Re1 0.0000 0.0000 0.0000
Se1 0.3742 0.3742 0.3742
Se2 0.3742 0.8773 0.3742
Se3 0.3742 0.3742 0.8773
Se4 0.8773 0.3742 0.3742
Mn1 0.7500 0.7500 0.7500
# raw formation energy = 8.426 eV/f.u.
# M_tot = 1.371 μB/atom
# D(E_F) = 0.83 states/eV per atom
# space group = F-43m
# VASP energy = -4.522 eV per atom

4.
# Mn2ReSe (PBE, optimized geometry)
data_Mn2ReSe
_chemical_formula_sum 'Mn2 Re1 Se1'
_cell_length_a 2.6943
_cell_length_b 2.6943
_cell_length_c 9.3219
_cell_angle_alpha 90.00
_cell_angle_beta 90.00
_cell_angle_gamma 110.87
_symmetry_space_group_name_H-M 'P 1'
_symmetry_Int_Tables_number 1
loop_
_symmetry_equiv_pos_as_xyz
'x,y,z'
loop_
_atom_site_label
_atom_site_fract_x
_atom_site_fract_y
_atom_site_fract_z
Re1 0.0000 0.0000 0.4407
Mn1 0.5000 0.5000 0.2336
Mn2 0.0000 0.0000 0.0162
Se1 0.5000 0.5000 0.8095
# raw formation energy = 1.956 eV/f.u.
# M_tot = 1.165 μB/atom
# D(E_F) = 0.89 states/eV per atom
# space group = Cmm2
# VASP energy = -8.079 eV per atom

5.
# Mn2ReSe (PBE, optimized geometry)
data_Mn2ReSe
_chemical_formula_sum 'Mn2 Re1 Se1'
_cell_length_a 4.5141
_cell_length_b 4.5141
_cell_length_c 4.4917
_cell_angle_alpha 79.75
_cell_angle_beta 79.75
_cell_angle_gamma 38.69
_symmetry_space_group_name_H-M 'P 1'
_symmetry_Int_Tables_number 1
loop_
_symmetry_equiv_pos_as_xyz
'x,y,z'
loop_
_atom_site_label
_atom_site_fract_x
_atom_site_fract_y
_atom_site_fract_z
Se1 0.2500 0.2500 0.2500
Re1 0.7500 0.7500 0.7500
Mn1 0.4968 0.4968 0.5149
Mn2 0.0032 0.0032 0.9851
# raw formation energy = 1.708 eV/f.u.
# M_tot = 1.086 μB/atom
# D(E_F) = 1.05 states/eV per atom
# space group = C2/m
# VASP energy = -8.141 eV per atom

6.
# Mn2ReSe (PBE, optimized geometry)
data_Mn2ReSe
_chemical_formula_sum 'Mn2 Re1 Se1'
_cell_length_a 8.2912
_cell_length_b 8.2912
_cell_length_c 8.2912
_cell_angle_alpha 19.82
_cell_angle_beta 19.82
_cell_angle_gamma 19.82
_symmetry_space_group_name_H-M 'P 1'
_symmetry_Int_Tables_number 1
loop_
_symmetry_equiv_pos_as_xyz
'x,y,z'
loop_
_atom_site_label
_atom_site_fract_x
_atom_site_fract_y
_atom_site_fract_z
Se1 0.7385 0.7385 0.7385
Re1 0.5089 0.5089 0.5089
Mn1 0.2524 0.2524 0.2524
Mn2 0.0002 0.0002 0.0002
# raw formation energy = 1.570 eV/f.u.
# M_tot = 0.788 μB/atom
# D(E_F) = 0.82 states/eV per atom
# space group = R3m
# VASP energy = -8.176 eV per atom